1.
LiSi2W: optimized geometry, GGA-PBE.

Results
ΔE_f (raw) = 0.3203 eV/atom
total magnetization = 0.0000 μB/atom
relative energy among the computed polymorphs = 146 kJ/mol of formula units

Structure (CIF):
```
data_LiSi2W
_chemical_formula_sum 'Li1 Si2 W1'
_cell_length_a 2.661
_cell_length_b 2.661
_cell_length_c 8.312
_cell_angle_alpha 90.00
_cell_angle_beta 90.00
_cell_angle_gamma 90.00
_space_group_name_H-M_alt 'P 4 m m'
_space_group_IT_number 99
loop_
_space_group_symop_operation_xyz
'x,y,z'
'-y,x,z'
'-x,-y,z'
'y,-x,z'
'-x,y,z'
'y,x,z'
'x,-y,z'
'-y,-x,z'
loop_
_atom_site_label
_atom_site_type_symbol
_atom_site_fract_x
_atom_site_fract_y
_atom_site_fract_z
Li1 Li 0.000 0.000 0.000
Si1 Si 0.000 0.000 0.491
Si2 Si 0.500 0.500 0.239
W1 W 0.500 0.500 0.726
```

***

2.
Al2Ni9W: optimized geometry, GGA-PBE.

Results
total magnetization = 0.0000 μB/atom
DFT formation energy = -344 meV per atom

Structure (CIF):
```
data_Al2Ni9W
_chemical_formula_sum 'Al2 Ni9 W1'
_cell_length_a 3.603
_cell_length_b 3.603
_cell_length_c 10.671
_cell_angle_alpha 90.00
_cell_angle_beta 90.00
_cell_angle_gamma 90.00
_space_group_name_H-M_alt 'P 4/m m m'
_space_group_IT_number 123
_space_group_name_Hall '-P 4 2'
loop_
_atom_site_label
_atom_site_type_symbol
_atom_site_fract_x
_atom_site_fract_y
_atom_site_fract_z
Al1 Al 0.000 0.000 0.160
Ni1 Ni 0.000 0.500 0.000
Ni2 Ni 0.000 0.500 0.333
Ni3 Ni 0.500 0.500 0.166
Ni4 Ni 0.500 0.500 0.500
W1 W 0.000 0.000 0.500
```

***

3.
Y4TlAg3: optimized geometry, GGA-PBE.

Results
total magnetization = 0.0000 μB/atom
relative energy among the computed polymorphs = 0 kJ/mol of formula units
DFT formation energy = -344 meV per atom

Structure (CIF):
```
data_Y4TlAg3
_chemical_formula_sum 'Y8 Tl2 Ag6'
_cell_length_a 5.221
_cell_length_b 5.221
_cell_length_c 14.728
_cell_angle_alpha 90.00
_cell_angle_beta 90.00
_cell_angle_gamma 90.00
_space_group_name_H-M_alt 'I 4/m m m'
_space_group_IT_number 139
_space_group_name_Hall '-I 4 2'
loop_
_atom_site_label
_atom_site_type_symbol
_atom_site_fract_x
_atom_site_fract_y
_atom_site_fract_z
Y1 Y 0.000 0.500 0.129
Tl1 Tl 0.000 0.000 0.000
Ag1 Ag 0.000 0.000 0.251
Ag2 Ag 0.000 0.000 0.500
```

***

4.
Ba2SnHgBi: optimized geometry, GGA-PBE.

Results
total magnetization = 0.0001 μB/atom
DFT formation energy = -72 meV per atom

Structure (CIF):
```
data_Ba2SnHgBi
_chemical_formula_sum 'Ba2 Sn1 Hg1 Bi1'
_cell_length_a 6.368
_cell_length_b 6.368
_cell_length_c 5.707
_cell_angle_alpha 90.00
_cell_angle_beta 90.00
_cell_angle_gamma 90.00
_space_group_name_H-M_alt 'P 4/m m m'
_space_group_IT_number 123
_space_group_name_Hall '-P 4 2'
loop_
_atom_site_label
_atom_site_type_symbol
_atom_site_fract_x
_atom_site_fract_y
_atom_site_fract_z
Ba1 Ba 0.000 0.500 0.000
Sn1 Sn 0.000 0.000 0.500
Hg1 Hg 0.500 0.500 0.000
Bi1 Bi 0.500 0.500 0.500
```

***

5.
AcCeLu2: optimized geometry, GGA-PBE.

Results
total magnetization = 0.1657 μB/atom
relative energy among the computed polymorphs = 11 kJ/mol of formula units
DFT formation energy = 152 meV per atom

Structure (CIF):
```
data_AcCeLu2
_chemical_formula_sum 'Ac1 Ce1 Lu2'
_cell_length_a 5.770
_cell_length_b 5.770
_cell_length_c 4.050
_cell_angle_alpha 90.00
_cell_angle_beta 90.00
_cell_angle_gamma 90.00
_space_group_name_H-M_alt 'P 4/m m m'
_space_group_IT_number 123
_space_group_name_Hall '-P 4 2'
loop_
_atom_site_label
_atom_site_type_symbol
_atom_site_fract_x
_atom_site_fract_y
_atom_site_fract_z
Ac1 Ac 0.000 0.000 0.000
Ce1 Ce 0.500 0.500 0.000
Lu1 Lu 0.000 0.500 0.500
```

***

6.
BeTl2Re: optimized geometry, GGA-PBE.

Results
total magnetization = 0.1676 μB/atom
relative energy among the computed polymorphs = 160 kJ/mol of formula units
DFT formation energy = 1006 meV per atom

Structure (CIF):
```
data_BeTl2Re
_chemical_formula_sum 'Be2 Tl4 Re2'
_cell_length_a 4.011
_cell_length_b 4.011
_cell_length_c 9.005
_cell_angle_alpha 90.00
_cell_angle_beta 90.00
_cell_angle_gamma 90.00
_space_group_name_H-M_alt 'I -4 m 2'
_space_group_IT_number 119
_space_group_name_Hall 'I -4 -2'
loop_
_atom_site_label
_atom_site_type_symbol
_atom_site_fract_x
_atom_site_fract_y
_atom_site_fract_z
Be1 Be 0.000 0.000 0.000
Tl1 Tl 0.000 0.000 0.500
Tl2 Tl 0.000 0.500 0.250
Re1 Re 0.000 0.500 0.750
```

***

no.,total DFT energy (no corrections) (eV/atom)
1,-6.11
2,-6.38
3,-4.94
4,-2.48
5,-4.62
6,-4.22